# 1
The following is a GGA-PBE calculation of a geometry-optimized InB structure, from the Alexandria database.

Cell lengths 3.162, 3.889, 6.312 Å; angles 105.83, 99.79, 100.53 degrees
Positions (direct):
In 0.156 0.152 0.304
In 0.844 0.848 0.696
B 0.246 0.493 0.002
B 0.754 0.507 0.998

Calculated values
energy relative to the lowest polymorph listed for this composition	0	meV per atom
ΔE_f	0.73	eV/f.u.

---

# 2
The following is a GGA-PBE calculation of a geometry-optimized Tb4ErTmSe8 structure, from the Alexandria database.

Cell lengths 8.406, 8.406, 8.406 Å; angles 60.05, 60.05, 60.05 degrees
Positions (direct):
Tb 0.000 0.000 0.000
Tb 0.376 0.376 0.875
Tb 0.376 0.875 0.376
Tb 0.875 0.376 0.376
Er 0.751 0.751 0.751
Tm 0.376 0.376 0.376
Se 0.133 0.133 0.133
Se 0.137 0.137 0.601
Se 0.137 0.601 0.137
Se 0.146 0.616 0.616
Se 0.601 0.137 0.137
Se 0.616 0.146 0.616
Se 0.616 0.616 0.146
Se 0.620 0.620 0.620

Calculated values
formation energy without anion corrections	-1.7120	eV/atom

---

# 3
The following is a GGA-PBE calculation of a geometry-optimized CaPmSe2 structure, from the Alexandria database.

Cell lengths 5.933, 5.933, 11.874 Å; angles 90.00, 90.00, 90.00 degrees
Positions (direct):
Ca 0.000 0.250 0.375
Ca 0.000 0.750 0.625
Ca 0.500 0.250 0.125
Ca 0.500 0.750 0.875
Pm 0.000 0.250 0.875
Pm 0.000 0.750 0.125
Pm 0.500 0.250 0.625
Pm 0.500 0.750 0.375
Se 0.000 0.250 0.128
Se 0.000 0.250 0.622
Se 0.000 0.750 0.378
Se 0.000 0.750 0.872
Se 0.500 0.250 0.372
Se 0.500 0.250 0.878
Se 0.500 0.750 0.122
Se 0.500 0.750 0.628

Calculated values
formation energy without anion corrections	-1.9074	eV/atom
energy relative to the lowest polymorph listed for this composition	0	meV per atom

---

# 4
The following is a GGA-PBE calculation of a geometry-optimized HoScPaSn structure, from the Alexandria database.

Cell lengths 7.349, 7.349, 7.349 Å; angles 90.00, 90.00, 90.00 degrees
Positions (direct):
Ho 0.000 0.000 0.000
Ho 0.000 0.500 0.500
Ho 0.500 0.000 0.500
Ho 0.500 0.500 0.000
Sc 0.000 0.000 0.500
Sc 0.000 0.500 0.000
Sc 0.500 0.000 0.000
Sc 0.500 0.500 0.500
Pa 0.250 0.250 0.250
Pa 0.250 0.750 0.750
Pa 0.750 0.250 0.750
Pa 0.750 0.750 0.250
Sn 0.250 0.250 0.750
Sn 0.250 0.750 0.250
Sn 0.750 0.250 0.250
Sn 0.750 0.750 0.750

Calculated values
ΔE_f	-0.08	eV/f.u.

---

Number 1 is which compound?
InB